Record 1
{"formula": "PmTmMo", "functional": "PBE", "state": "relaxed", "cell": [[0.000, 3.476, 3.476], [3.476, 0.000, 3.476], [3.476, 3.476, 0.000]], "species": ["Pm", "Tm", "Mo"], "fractional_positions": [[0.000, 0.000, 0.000], [0.750, 0.750, 0.750], [0.500, 0.500, 0.500]], "total_magnetization_mub_per_cell": 1.80, "e_tot_ev_per_cell": -16.5}

=====

Record 2
{"formula": "PmZnMo", "functional": "PBE", "state": "relaxed", "cell": [[0.000, 3.396, 3.396], [3.396, 0.000, 3.396], [3.396, 3.396, 0.000]], "species": ["Pm", "Zn", "Mo"], "fractional_positions": [[0.000, 0.000, 0.000], [0.250, 0.250, 0.250], [0.750, 0.750, 0.750]], "total_magnetization_mub_per_cell": 2.99, "e_tot_ev_per_cell": -13.2, "relative_energy_mev_per_atom": 539}

=====

Record 3
{"formula": "PmZnMo", "functional": "PBE", "state": "relaxed", "cell": [[0.000, 3.254, 3.254], [3.254, 0.000, 3.254], [3.254, 3.254, 0.000]], "species": ["Pm", "Zn", "Mo"], "fractional_positions": [[0.000, 0.000, 0.000], [0.750, 0.750, 0.750], [0.500, 0.500, 0.500]], "total_magnetization_mub_per_cell": 1.43, "e_tot_ev_per_cell": -14.8, "relative_energy_mev_per_atom": 0}

=====

Record 4
{"formula": "PrMo2", "functional": "PBE", "state": "relaxed", "cell": [[0.000, 3.964, 3.964], [3.964, 0.000, 3.964], [3.964, 3.964, 0.000]], "species": ["Pr", "Pr", "Mo", "Mo", "Mo", "Mo"], "fractional_positions": [[0.125, 0.125, 0.125], [0.875, 0.875, 0.875], [0.000, 0.500, 0.500], [0.500, 0.000, 0.500], [0.500, 0.500, 0.000], [0.500, 0.500, 0.500]], "total_magnetization_mub_per_cell": 0.01, "e_tot_ev_per_cell": -51.2}